! GGA-PBE Sc2AgSb, optimized geometry; values from VASP
! - E_tot: -5.1481 eV/atom
! - Raw formation energy: -0.24 eV/atom
! - ρ: 5.61 g/cm³
! - Fermi-level density of states: 0.93 states/eV/atom
! - Space group: I-42d (122)
&SYSTEM
  ibrav = 0, nat = 8, ntyp = 3
/
ATOMIC_SPECIES
Ag 107.87 Ag.upf
Sc 44.96 Sc.upf
Sb 121.76 Sb.upf
CELL_PARAMETERS angstrom
7.662 0.000 0.000
0.000 7.662 0.000
3.831 3.831 3.223
ATOMIC_POSITIONS crystal
Ag 0.500 0.500 0.000
Ag 0.250 0.750 0.500
Sc 0.613 0.125 0.250
Sc 0.137 0.625 0.250
Sc 0.375 0.387 0.750
Sc 0.875 0.863 0.750
Sb 0.750 0.250 0.500
Sb 0.000 0.000 0.000